# PBE AcLa2Nd2, optimized geometry
# - ΔE_f (eV/f.u.) = 0.1
# - DOS(E_F) (states/eV/cell) = 24.58
# - uncorrected energy (eV per atom) = -4.68
# - offset from the most stable computed form (eV per atom) = 0.0000
data_AcLa2Nd2
_cell_length_a 3.7862
_cell_length_b 3.7862
_cell_length_c 45.7714
_cell_angle_alpha 90.00
_cell_angle_beta 90.00
_cell_angle_gamma 120.00
_symmetry_space_group_name_H-M 'R -3 m'
_symmetry_Int_Tables_number 166
_symmetry_space_group_name_Hall '-R 3 2"'
loop_
_atom_site_label
_atom_site_fract_x
_atom_site_fract_y
_atom_site_fract_z
Ac1 0.0000 0.0000 0.0000
La1 0.0000 0.0000 0.1996
Nd1 0.0000 0.0000 0.4012